This record from Alexandria describes a relaxed Sr2MnNbO crystal. The functional is PBE+U.

Results
DOS at the Fermi energy, states/eV/f.u.: 4.93
Total energy, eV/cell: -19.0

```
data_Sr2MnNbO
_symmetry_space_group_name_H-M 'P 4/m m m'
_symmetry_Int_Tables_number 123
_symmetry_space_group_name_Hall '-P 4 2'
_cell_length_a 6.018
_cell_length_b 6.018
_cell_length_c 4.400
_cell_angle_alpha 90.00
_cell_angle_beta 90.00
_cell_angle_gamma 90.00
loop_
_atom_site_label
_atom_site_type_symbol
_atom_site_fract_x
_atom_site_fract_y
_atom_site_fract_z
_atom_site_occupancy
Sr1 Sr 0.000 0.500 0.000 1
Mn1 Mn 0.000 0.000 0.500 1
Nb1 Nb 0.000 0.000 0.000 1
O1 O 0.500 0.500 0.500 1
```